Density functional theory data (SCAN) for a PBEsol-optimized structure of SrCoBi3.

Output
Formation energy from the elements = -0.058 eV per atom
SG = No. 221
E_tot = -55.12 eV per atom

a b c (Å): 5.213 5.213 5.213
angles (deg): 90.00 90.00 90.00
Element x y z (fractional)
Sr 0.000 0.000 0.000
Co 0.500 0.500 0.500
Bi 0.000 0.500 0.500
Bi 0.500 0.000 0.500
Bi 0.500 0.500 0.000



Density functional theory data (SCAN) for a PBEsol-optimized structure of Sr2HgAs.

Output
Formation energy from the elements = -0.938 eV per atom
SG = No. 166
E_tot = -34.16 eV per atom

a b c (Å): 7.812 7.812 7.812
angles (deg): 34.07 34.07 34.07
Element x y z (fractional)
Sr 0.237 0.237 0.237
Sr 0.763 0.763 0.763
Hg 0.000 0.000 0.000
As 0.500 0.500 0.500



Density functional theory data (SCAN) for a PBEsol-optimized structure of Ca5In.

Output
Formation energy from the elements = -0.203 eV per atom
SG = No. 123
E_tot = -13.82 eV per atom

a b c (Å): 3.807 3.807 14.880
angles (deg): 90.00 90.00 90.00
Element x y z (fractional)
Ca 0.000 0.000 0.000
Ca 0.000 0.000 0.373
Ca 0.000 0.000 0.627
Ca 0.500 0.500 0.184
Ca 0.500 0.500 0.816
In 0.500 0.500 0.500



Density functional theory data (SCAN) for a PBEsol-optimized structure of CdRh2.

Output
Formation energy from the elements = 0.009 eV per atom
SG = No. 12
E_tot = -32.64 eV per atom

a b c (Å): 5.395 5.395 6.511
angles (deg): 104.42 104.42 29.75
Element x y z (fractional)
Cd 0.024 0.024 0.297
Cd 0.976 0.976 0.703
Rh 0.295 0.295 0.361
Rh 0.349 0.349 0.976
Rh 0.651 0.651 0.024
Rh 0.705 0.705 0.639



Density functional theory data (SCAN) for a PBEsol-optimized structure of VCl2.

Output
Formation energy without anion corrections = -1.65 eV/atom
SG = No. 164
E_tot = -12.79 eV per atom

a b c (Å): 3.583 3.583 5.851
angles (deg): 90.00 90.00 120.00
Element x y z (fractional)
V 0.000 0.000 0.000
Cl 0.333 0.667 0.224
Cl 0.667 0.333 0.776



Density functional theory data (SCAN) for a PBEsol-optimized structure of KAgCl2.

Output
Formation energy without anion corrections = -1.28 eV/atom
SG = No. 44
E_tot = -15.19 eV per atom

a b c (Å): 7.378 7.378 7.378
angles (deg): 151.25 150.09 41.96
Element x y z (fractional)
K 0.000 0.000 0.000
Ag 0.249 0.749 0.500
Cl 0.394 0.394 0.000
Cl 0.677 0.177 0.500



Density functional theory data (SCAN) for a PBEsol-optimized structure of Ni2AsOs.

Output
Formation energy from the elements = 0.109 eV per atom
SG = No. 123
E_tot = -30.99 eV per atom

a b c (Å): 3.613 3.613 3.742
angles (deg): 90.00 90.00 90.00
Element x y z (fractional)
Ni 0.000 0.500 0.000
Ni 0.500 0.000 0.000
As 0.000 0.000 0.500
Os 0.500 0.500 0.500



Density functional theory data (SCAN) for a PBEsol-optimized structure of KYCd2.

Output
Formation energy from the elements = 0.011 eV per atom
SG = No. 216
E_tot = -24.24 eV per atom

a b c (Å): 5.191 5.191 5.191
angles (deg): 60.00 60.00 60.00
Element x y z (fractional)
K 0.000 0.000 0.000
Y 0.250 0.250 0.250
Cd 0.500 0.500 0.500
Cd 0.750 0.750 0.750